# 1
## Sr2MnGe4Rh3 (PBE)

Data for Sr2MnGe4Rh3 after structural relaxation.

The value obtained for the total magnetization is 2.32 μB/f.u. The calculated volume comes out at 192.7 Å³/f.u. For the formation enthalpy at 0 K, the calculation gives -5.8 eV per formula unit.

```
Sr2MnGe4Rh3
1.0
4.303 0.000 0.000
0.000 4.303 0.000
0.000 0.000 10.404
Sr Mn Ge Rh
2 1 4 3
Cartesian
0.000 2.152 2.590
2.152 0.000 7.815
0.000 0.000 5.202
0.000 0.000 0.000
0.000 2.152 6.523
2.152 0.000 3.882
2.152 2.152 0.000
0.000 2.152 9.119
2.152 0.000 1.286
2.152 2.152 5.202
```


# 2
## Sr2MnGe3Rh4 (PBE)

Data for Sr2MnGe3Rh4 after structural relaxation.

The value obtained for the total magnetization is 4.20 μB/f.u. The calculated volume comes out at 190.9 Å³/f.u. For the formation enthalpy at 0 K, the calculation gives -6.2 eV per formula unit.

```
Sr2MnGe3Rh4
1.0
4.249 0.000 0.000
0.000 4.249 0.000
0.000 0.000 10.570
Sr Mn Ge Rh
2 1 3 4
Cartesian
0.000 2.125 2.628
2.125 0.000 7.942
0.000 0.000 5.285
0.000 2.125 9.263
2.125 0.000 1.307
2.125 2.125 5.285
0.000 0.000 0.000
0.000 2.125 6.707
2.125 0.000 3.863
2.125 2.125 0.000
```


# 3
## SrMnGe2Rh (PBE)

Data for SrMnGe2Rh after structural relaxation.

The value obtained for the total magnetization is 2.52 μB/f.u. The calculated volume comes out at 96.0 Å³/f.u. For the formation enthalpy at 0 K, the calculation gives -2.7 eV per formula unit.

```
SrMnGe2Rh
1.0
-2.085 2.085 5.523
2.085 -2.085 5.523
2.085 2.085 -5.523
Sr Mn Ge Rh
1 1 2 1
Cartesian
0.000 0.000 0.000
0.000 2.085 2.761
0.000 0.000 4.113
0.000 0.000 6.932
2.085 0.000 2.761
```


# 4
## TaMnGeRh2 (PBE)

Data for TaMnGeRh2 after structural relaxation.

The value obtained for the total magnetization is 3.29 μB/f.u. The calculated volume comes out at 106.6 Å³/f.u. For the formation enthalpy at 0 K, the calculation gives 5.3 eV per formula unit.

```
TaMnGeRh2
1.0
4.727 0.000 0.000
0.000 4.727 0.000
0.000 0.000 4.769
Ta Mn Ge Rh
1 1 1 2
Cartesian
0.000 0.000 0.000
0.000 0.000 2.385
2.364 2.364 2.385
0.000 2.364 0.000
2.364 0.000 0.000
```


Q: Among the records above, which one has the highest calculated volume?
A: Sr2MnGe4Rh3